[1]
# LaPrGe2Ir PBE relaxed
data_LaPrGe2Ir
_symmetry_space_group_name_H-M 'C 1 2/m 1'
_symmetry_Int_Tables_number 12
_symmetry_space_group_name_Hall '-C 2y'
_cell_length_a 11.193
_cell_length_b 4.321
_cell_length_c 11.277
_cell_angle_alpha 90.00
_cell_angle_beta 118.13
_cell_angle_gamma 90.00
loop_
_atom_site_label
_atom_site_fract_x
_atom_site_fract_y
_atom_site_fract_z
La1 0.207 0.000 0.145
Pr1 0.096 0.500 0.391
Ge1 0.047 0.500 0.918
Ge2 0.115 0.000 0.615
Ir1 0.056 0.000 0.807
# E = -6.400 eV per atom
# E above lowest polymorph = 0.00 kcal/mol of atoms

***

[2]
# LaPrGe2Ir PBE relaxed
data_LaPrGe2Ir
_symmetry_space_group_name_H-M 'C 1 2/m 1'
_symmetry_Int_Tables_number 12
_symmetry_space_group_name_Hall '-C 2y'
_cell_length_a 11.250
_cell_length_b 4.316
_cell_length_c 11.322
_cell_angle_alpha 90.00
_cell_angle_beta 118.92
_cell_angle_gamma 90.00
loop_
_atom_site_label
_atom_site_fract_x
_atom_site_fract_y
_atom_site_fract_z
La1 0.098 0.000 0.392
Pr1 0.206 0.500 0.144
Ge1 0.048 0.000 0.919
Ge2 0.117 0.500 0.617
Ir1 0.056 0.500 0.807
# E = -6.391 eV per atom
# E above lowest polymorph = 0.23 kcal/mol of atoms

***

[3]
# LaPr2Ge4Ir2Pt2 PBE relaxed
data_LaPr2Ge4Ir2Pt2
_symmetry_space_group_name_H-M 'I m m m'
_symmetry_Int_Tables_number 71
_symmetry_space_group_name_Hall '-I 2 2'
_cell_length_a 4.157
_cell_length_b 4.344
_cell_length_c 25.364
_cell_angle_alpha 90.00
_cell_angle_beta 90.00
_cell_angle_gamma 90.00
loop_
_atom_site_label
_atom_site_fract_x
_atom_site_fract_y
_atom_site_fract_z
La1 0.000 0.000 0.000
Pr1 0.000 0.500 0.148
Ge1 0.000 0.000 0.450
Ge2 0.000 0.500 0.303
Ir1 0.000 0.000 0.250
Pt1 0.000 0.500 0.402
# E = -6.665 eV per atom

***

[4]
# La2PrGe4Ir2Pt2 PBE relaxed
data_La2PrGe4Ir2Pt2
_symmetry_space_group_name_H-M 'I m m m'
_symmetry_Int_Tables_number 71
_symmetry_space_group_name_Hall '-I 2 2'
_cell_length_a 4.165
_cell_length_b 4.328
_cell_length_c 25.545
_cell_angle_alpha 90.00
_cell_angle_beta 90.00
_cell_angle_gamma 90.00
loop_
_atom_site_label
_atom_site_fract_x
_atom_site_fract_y
_atom_site_fract_z
La1 0.000 0.000 0.147
Pr1 0.000 0.500 0.000
Ge1 0.000 0.000 0.303
Ge2 0.000 0.500 0.451
Ir1 0.000 0.500 0.250
Pt1 0.000 0.000 0.401
# E = -6.695 eV per atom

***

Q: The highest E belongs to which entry?
A: number 2

***

Q: Which value of E does entry 4 give?
A: -6.695 eV per atom